Material: Zr2CrP2
Method: DFT, PBE
State: optimized geometry

a b c (Å): 6.390 6.390 3.859
angles (deg): 90.00 90.00 90.00
Fractional coordinates of all 10 atoms:
Zr  0.168  0.332  0.000
Zr  0.332  0.832  0.000
Zr  0.668  0.168  0.000
Zr  0.832  0.668  0.000
Cr  0.000  0.000  0.500
Cr  0.500  0.500  0.500
P  0.142  0.642  0.500
P  0.358  0.142  0.500
P  0.642  0.858  0.500
P  0.858  0.358  0.500

- Calculated total energy: -0.618 Ry/atom
- Symmetry: P4/mbm, No. 127
- Density: 6.2 g cm⁻³

***

Material: ZrCrP
Method: DFT, PBE
State: optimized geometry

a b c (Å): 6.446 3.654 7.596
angles (deg): 90.00 90.00 90.00
Fractional coordinates of all 12 atoms:
Zr  0.030  0.250  0.175
Zr  0.470  0.750  0.675
Zr  0.530  0.250  0.325
Zr  0.970  0.750  0.825
Cr  0.139  0.250  0.560
Cr  0.361  0.750  0.060
Cr  0.639  0.250  0.940
Cr  0.861  0.750  0.440
P  0.227  0.750  0.371
P  0.273  0.250  0.871
P  0.727  0.750  0.129
P  0.773  0.250  0.629

- Calculated total energy: -0.645 Ry/atom
- Symmetry: Pnma, No. 62
- Density: 6.5 g cm⁻³

***

Material: ZrCrP
Method: DFT, PBE
State: optimized geometry

a b c (Å): 9.031 3.593 6.278
angles (deg): 90.00 102.43 90.00
Fractional coordinates of all 12 atoms:
Zr  0.117  0.000  0.309
Zr  0.383  0.500  0.691
Zr  0.617  0.500  0.309
Zr  0.883  0.000  0.691
Cr  0.114  0.500  0.952
Cr  0.386  0.000  0.048
Cr  0.614  0.000  0.952
Cr  0.886  0.500  0.048
P  0.178  0.000  0.741
P  0.322  0.500  0.259
P  0.678  0.500  0.741
P  0.822  0.000  0.259

- Calculated total energy: -0.625 Ry/atom
- Symmetry: C2/m, No. 12
- Density: 5.8 g cm⁻³